The following is a DFT calculation (PBE) of crystalline TaTe4Ru at its relaxed geometry.

Cell: 8.540 8.540 8.540 Å, 90.00 90.00 90.00°
Space group F-43m (No. 216)
Inequivalent atoms, fractional coordinates:
Ta1 0.000 0.000 0.000 x4
Te1 0.125 0.125 0.625 x16
Ru1 0.250 0.250 0.250 x4

Properties
The calculation puts the calculated volume at 25.954 Å³/atom. The calculation puts the raw formation energy at 1.54 eV per atom.


The following is a DFT calculation (PBE) of crystalline TaTe2Ru at its relaxed geometry.

Cell: 3.333 4.491 5.440 Å, 90.00 90.00 90.00°
Space group Pmmm (No. 47)
Inequivalent atoms, fractional coordinates:
Ta1 0.000 0.000 0.000 x1
Te1 0.000 0.500 0.500 x1
Te2 0.500 0.500 0.000 x1
Ru1 0.500 0.000 0.500 x1

Properties
The calculation puts the calculated volume at 20.355 Å³/atom. The calculation puts the raw formation energy at 0.65 eV per atom.


The following is a DFT calculation (PBE) of crystalline TaTe4Ru at its relaxed geometry.

Cell: 3.744 12.571 13.767 Å, 90.00 90.00 90.00°
Space group Pmn2_1 (No. 31)
Inequivalent atoms, fractional coordinates:
Ta1 0.000 0.051 0.000 x2
Ta2 0.000 0.281 0.484 x2
Te1 0.000 0.072 0.390 x2
Te2 0.000 0.190 0.849 x2
Te3 0.000 0.342 0.086 x2
Te4 0.000 0.424 0.631 x2
Te5 0.000 0.575 0.393 x2
Te6 0.000 0.670 0.843 x2
Te7 0.000 0.841 0.097 x2
Te8 0.000 0.899 0.641 x2
Ru1 0.000 0.536 0.997 x2
Ru2 0.000 0.768 0.484 x2

Properties
The calculation puts the calculated volume at 26.995 Å³/atom. The calculation puts the raw formation energy at -0.34 eV per atom.


The following is a DFT calculation (PBE) of crystalline TaTe2Ru at its relaxed geometry.

Cell: 3.301 3.776 7.740 Å, 90.00 90.00 90.00°
Space group Pmm2 (No. 25)
Inequivalent atoms, fractional coordinates:
Ta1 0.000 0.000 0.000 x1
Te1 0.000 0.000 0.647 x1
Te2 0.500 0.500 0.208 x1
Ru1 0.500 0.500 0.856 x1

Properties
The calculation puts the calculated volume at 24.121 Å³/atom. The calculation puts the raw formation energy at -0.02 eV per atom.


The following is a DFT calculation (PBE) of crystalline TaTe2Ru at its relaxed geometry.

Cell: 3.702 3.992 14.913 Å, 90.00 90.00 90.00°
Space group Immm (No. 71)
Inequivalent atoms, fractional coordinates:
Ta1 0.000 0.000 0.000 x2
Te1 0.000 0.500 0.136 x4
Ru1 0.000 0.000 0.500 x2

Properties
The calculation puts the calculated volume at 27.555 Å³/atom. The calculation puts the raw formation energy at -0.11 eV per atom.


The following is a DFT calculation (PBE) of crystalline TaZn2TeRu at its relaxed geometry.

Cell: 5.090 5.090 4.672 Å, 90.00 90.00 90.00°
Space group P4/mmm (No. 123)
Inequivalent atoms, fractional coordinates:
Ta1 0.000 0.000 0.000 x1
Zn1 0.000 0.500 0.000 x2
Te1 0.500 0.500 0.500 x1
Ru1 0.000 0.000 0.500 x1

Properties
The calculation puts the calculated volume at 24.204 Å³/atom. The calculation puts the raw formation energy at 1.08 eV per atom.


The following is a DFT calculation (PBE) of crystalline ThTaRu2 at its relaxed geometry.

Cell: 3.196 3.196 7.376 Å, 90.00 90.00 90.00°
Space group P4/mmm (No. 123)
Inequivalent atoms, fractional coordinates:
Th1 0.000 0.000 0.000 x1
Ta1 0.000 0.000 0.500 x1
Ru1 0.500 0.500 0.296 x2

Properties
The calculation puts the calculated volume at 18.839 Å³/atom. The calculation puts the formation energy at -342 meV per atom.


The following is a DFT calculation (PBE) of crystalline ThTaRu2 at its relaxed geometry.

Cell: 4.2466 4.2466 15.5877 Å, 90.00 90.00 120.00°
Space group R-3m (No. 166, hexagonal axes)
Inequivalent atoms, fractional coordinates:
Th1 0.0000 0.0000 0.0000 x3
Ta1 0.0000 0.0000 0.5000 x3
Ru1 0.0000 0.0000 0.2231 x6

Properties
The calculation puts the calculated volume at 20.287 Å³/atom. The calculation puts the formation energy at -262 meV per atom.


| no. | final energy (eV/cell) |
| --- | --- |
| 1 | -97.84 |
| 2 | -24.80 |
| 3 | -143.05 |
| 4 | -27.48 |
| 5 | -55.68 |
| 6 | -21.42 |
| 7 | -39.19 |
| 8 | -116.61 |